# 1
Here is a relaxed Sm6Dy2Ho3Th crystal from Alexandria via LeMat-Bulk. Energies are from PBE.

The value obtained for the energy relative to the elements is 0.0298 eV per atom. The value obtained for the density of states at the Fermi level is 1.35 states/eV per atom.

The space group is C2/m (No. 12) and the conventional cell measures 6.214, 10.751 and 11.889 Å, with angles of 90.00, 100.03 and 90.00 degrees. The asymmetric unit holds Sm at (0.246, 0.000, 0.250), Sm at (0.249, 0.165, 0.750), Dy at (0.000, 0.333, 0.500), Ho at (0.000, 0.167, 0.000), Ho at (0.000, 0.500, 0.000) and Th at (0.000, 0.000, 0.500).

***

# 2
Here is a relaxed CrCdBr2 crystal from Alexandria via LeMat-Bulk. Energies are from PBE.

Its relative energy among the computed polymorphs is 0.6203 eV/atom. The value obtained for the density of states at the Fermi level is 0.63 states/eV per atom.

The space group is F-43m (No. 216) and the conventional cell measures 7.352, 7.352 and 7.352 Å, with angles of 90.00, 90.00 and 90.00 degrees. The asymmetric unit holds Cr at (0.000, 0.000, 0.000), Cd at (0.250, 0.250, 0.250), Br at (0.000, 0.000, 0.500) and Br at (0.250, 0.250, 0.750).

***

# 3
Here is a relaxed Ba2NaBePt crystal from Alexandria via LeMat-Bulk. Energies are from PBE.

The value obtained for the energy relative to the elements is -0.1963 eV per atom. The value obtained for the density of states at the Fermi level is 0.63 states/eV per atom.

The space group is P4/mmm (No. 123) and the conventional cell measures 6.257, 6.257 and 4.541 Å, with angles of 90.00, 90.00 and 90.00 degrees. The asymmetric unit holds Ba at (0.000, 0.500, 0.000), Na at (0.000, 0.000, 0.500), Be at (0.500, 0.500, 0.500) and Pt at (0.500, 0.500, 0.000).

***

# 4
Here is a relaxed Pr6TlSe4 crystal from Alexandria via LeMat-Bulk. Energies are from PBE.

Its total DFT energy (no corrections) is -242.369 eV per cell. The value obtained for the density of states at the Fermi level is 0.68 states/eV per atom.

The space group is Cmcm (No. 63) and the conventional cell measures 4.242, 14.239 and 21.743 Å, with angles of 90.00, 90.00 and 90.00 degrees. The asymmetric unit holds Pr at (0.000, 0.000, 0.000), Pr at (0.000, 0.163, 0.250), Pr at (0.000, 0.272, 0.583), Pr at (0.000, 0.456, 0.162), Tl at (0.000, 0.166, 0.750), Se at (0.000, 0.091, 0.124) and Se at (0.000, 0.363, 0.041).

***

# 5
Here is a relaxed LiCuPO4 crystal from Alexandria via LeMat-Bulk. Energies are from PBE.

Its relative energy among the computed polymorphs is 0.0675 eV/atom. The value obtained for the density of states at the Fermi level is 0.16 states/eV per atom.

The space group is Pnma (No. 62) and the conventional cell measures 9.425, 6.166 and 5.032 Å, with angles of 90.00, 90.00 and 90.00 degrees. The asymmetric unit holds Li at (0.000, 0.000, 0.000), Cu at (0.152, 0.250, 0.460), P at (0.190, 0.750, 0.462), O at (0.115, 0.548, 0.341), O at (0.150, 0.250, 0.887) and O at (0.166, 0.750, 0.768).

***

# 6
Here is a relaxed LiCa2Pt crystal from Alexandria via LeMat-Bulk. Energies are from PBE.

The value obtained for the energy relative to the elements is -0.3755 eV per atom. The value obtained for the density of states at the Fermi level is 0.57 states/eV per atom.

The space group is I-4m2 (No. 119) and the conventional cell measures 4.349, 4.349 and 9.811 Å, with angles of 90.00, 90.00 and 90.00 degrees. The asymmetric unit holds Li at (0.000, 0.000, 0.000), Ca at (0.000, 0.000, 0.500), Ca at (0.000, 0.500, 0.250) and Pt at (0.000, 0.500, 0.750).

***

# 7
Here is a relaxed Li5B4 crystal from Alexandria via LeMat-Bulk. Energies are from PBE.

The value obtained for the energy relative to the elements is 0.1994 eV per atom. Its relative energy among the computed polymorphs is 0.0000 eV/atom. The value obtained for the density of states at the Fermi level is 0.18 states/eV per atom.

The space group is C2/m (No. 12) and the conventional cell measures 6.661, 6.830 and 3.816 Å, with angles of 90.00, 93.35 and 90.00 degrees. The asymmetric unit holds Li at (0.000, 0.000, 0.000), Li at (0.201, 0.000, 0.512), Li at (0.250, 0.250, 0.000), B at (0.000, 0.288, 0.500) and B at (0.011, 0.500, 0.747).

***

# 8
Here is a relaxed Ba2LiPt2 crystal from Alexandria via LeMat-Bulk. Energies are from PBE.

The value obtained for the energy relative to the elements is -0.6114 eV per atom. Its relative energy among the computed polymorphs is 0.0189 eV/atom. The value obtained for the density of states at the Fermi level is 0.36 states/eV per atom.

The space group is Ibam (No. 72) and the conventional cell measures 6.716, 13.052 and 6.498 Å, with angles of 90.00, 90.00 and 90.00 degrees. The asymmetric unit holds Ba at (0.192, 0.140, 0.000), Li at (0.000, 0.500, 0.250) and Pt at (0.207, 0.388, 0.000).

***

# 9
Here is a relaxed Tl2Bi3Se6 crystal from Alexandria via LeMat-Bulk. Energies are from PBE.

Its total DFT energy (no corrections) is -82.883 eV per cell. The value obtained for the density of states at the Fermi level is 0.57 states/eV per atom.

The space group is C2/m (No. 12) and the conventional cell measures 7.353, 12.741 and 7.797 Å, with angles of 90.00, 108.55 and 90.00 degrees. The asymmetric unit holds Tl at (0.000, 0.164, 0.000), Bi at (0.000, 0.000, 0.500), Bi at (0.000, 0.331, 0.500), Se at (0.243, 0.167, 0.728) and Se at (0.243, 0.500, 0.726).

***

# 10
Here is a relaxed Nd3LuCl crystal from Alexandria via LeMat-Bulk. Energies are from PBE.

Its total DFT energy (no corrections) is -23.059 eV per cell. The value obtained for the density of states at the Fermi level is 0.91 states/eV per atom.

The space group is Pm-3m (No. 221) and the conventional cell measures 5.445, 5.445 and 5.445 Å, with angles of 90.00, 90.00 and 90.00 degrees. The asymmetric unit holds Nd at (0.000, 0.000, 0.500), Lu at (0.500, 0.500, 0.500) and Cl at (0.000, 0.000, 0.000).